DFT (PBE-GGA) results for Cs3MnRu after structural relaxation.

Values from the calculation:
Formation energy: 6.6 eV/f.u.
Crystal system: cubic

Unit cell a=6.0901 b=6.0901 c=6.0901 alpha=90.00 beta=90.00 gamma=90.00
Site moments in Bohr magnetons follow the coordinates.
Positions (direct):
Cs (0.5000, 0.0000, 0.0000)  0.00
Cs (0.0000, 0.5000, 0.0000)  0.00
Cs (0.0000, 0.0000, 0.5000)  -0.01
Mn (0.5000, 0.5000, 0.5000)  4.22
Ru (0.0000, 0.0000, 0.0000)  0.24